No. 1
This record from Alexandria via LeMat-Bulk describes a geometry-optimized Tb2CdIn3 structure. The functional is PBE.

The structure belongs to space group Fmmm (No. 69); the cell edges are 7.1459, 9.9179 and 17.1598 Å and the angles 90.00°, 90.00° and 90.00°. The distinct sites, in fractional coordinates, are Tb at (0.2498, 0.0000, 0.0000), Tb at (0.2500, 0.2500, 0.2500), Cd at (0.0000, 0.0000, 0.1669), In at (0.0000, 0.0000, 0.3320) and In at (0.0000, 0.2483, 0.0841).

The value obtained for the magnetic moment is 0.0 Bohr magnetons per cell. The calculated total energy is -3.4778 eV per atom. The calculation puts the formation energy at -0.413 eV/atom.



No. 2
This record from Alexandria via LeMat-Bulk describes a geometry-optimized TbCd14In structure. The functional is PBE.

The structure belongs to space group P4/mmm (No. 123); the cell edges are 6.6112, 6.6112 and 8.6067 Å and the angles 90.00°, 90.00° and 90.00°. The distinct sites, in fractional coordinates, are Tb at (0.0000, 0.0000, 0.0000), Cd at (0.0000, 0.0000, 0.5000), Cd at (0.0000, 0.5000, 0.0000), Cd at (0.0000, 0.5000, 0.5000), Cd at (0.2499, 0.2499, 0.2584), Cd at (0.5000, 0.5000, 0.5000) and In at (0.5000, 0.5000, 0.0000).

The value obtained for the magnetic moment is 0.0 Bohr magnetons per cell. The calculated total energy is -1.3033 eV per atom. The calculation puts the formation energy at -0.042 eV/atom.



No. 3
This record from Alexandria via LeMat-Bulk describes a geometry-optimized Tb2CdIn9 structure. The functional is PBE.

The structure belongs to space group P4/mmm (No. 123); the cell edges are 4.6846, 4.6846 and 13.8932 Å and the angles 90.00°, 90.00° and 90.00°. The distinct sites, in fractional coordinates, are Tb at (0.0000, 0.0000, 0.1645), Cd at (0.0000, 0.0000, 0.5000), In at (0.0000, 0.5000, 0.0000), In at (0.0000, 0.5000, 0.3373), In at (0.5000, 0.5000, 0.1651) and In at (0.5000, 0.5000, 0.5000).

The value obtained for the magnetic moment is 0.0 Bohr magnetons per cell. The calculated total energy is -3.1433 eV per atom. The calculation puts the formation energy at -0.242 eV/atom.



- formation energy of number 1 (Tb2CdIn3)?
  -0.413 eV/atom



- formation energy of number 3 (Tb2CdIn9)?
  -0.242 eV/atom



Repeat the second record exactly.
This record from Alexandria via LeMat-Bulk describes a geometry-optimized TbCd14In structure. The functional is PBE.

The structure belongs to space group P4/mmm (No. 123); the cell edges are 6.6112, 6.6112 and 8.6067 Å and the angles 90.00°, 90.00° and 90.00°. The distinct sites, in fractional coordinates, are Tb at (0.0000, 0.0000, 0.0000), Cd at (0.0000, 0.0000, 0.5000), Cd at (0.0000, 0.5000, 0.0000), Cd at (0.0000, 0.5000, 0.5000), Cd at (0.2499, 0.2499, 0.2584), Cd at (0.5000, 0.5000, 0.5000) and In at (0.5000, 0.5000, 0.0000).

The value obtained for the magnetic moment is 0.0 Bohr magnetons per cell. The calculated total energy is -1.3033 eV per atom. The calculation puts the formation energy at -0.042 eV/atom.